Entry 1:
A plane-wave DFT calculation with PBE was carried out for BaCoTc2 after structural relaxation.

Geometry as extended XYZ:
```
4
Lattice="5.9281 0.0037 -0.0025 3.2092 4.9843 0.0025 -3.9052 -3.7094 2.4764" Properties=species:S:1:pos:R:3 pbc="T T T"
Ba 3.2958 -0.6059 1.2369
Co 1.9363 1.8845 1.2394
Tc 0.3683 0.2011 0.0000
Tc 4.2003 2.2929 0.0000
```

Computed properties:
The space group is Immm, No. 71. As for the formation energy: 92.8 kJ/mol of atoms. For the relative energy among the computed polymorphs, the calculation gives 503.8 meV per atom. The calculation puts the magnetization at 1.0 μB per cell. The volume comes out at 18.29 A^3/atom.

---

Entry 2:
A plane-wave DFT calculation with PBE was carried out for Tm12Pt3O5 after structural relaxation.

Geometry as extended XYZ:
```
80
Lattice="-7.7311 -10.0483 2.6567 2.2683 0.4513 -12.7455 11.2135 -1.3863 6.3350" Properties=species:S:1:pos:R:3 pbc="T T T"
Pt -3.5460 -7.5403 -1.9951
Pt -3.6618 -8.6271 -6.4426
Pt 5.8105 -4.2961 -4.6035
Pt 2.5558 -2.9755 1.4466
Pt -3.6778 -9.0824 2.3152
Pt 1.3219 -3.8327 -5.3859
Pt 4.4288 -7.1507 1.6321
Pt 9.4285 -1.9009 -6.0690
Pt 3.1949 -8.0078 -5.2004
Pt -0.0598 -6.6872 0.8497
Pt 9.4125 -2.3563 2.6888
Pt 9.2967 -3.4431 -1.7586
O 2.6876 -1.4334 -2.8637
O 1.1342 0.2256 -6.3727
O 0.0000 0.0000 0.0000
O -0.9304 -3.8286 -1.3982
O 1.7412 -5.7173 4.4958
O -2.7314 -4.7985 -5.0444
O 4.9399 -1.4375 -6.8514
O 4.2970 -8.6928 5.9425
O -0.1755 -7.7741 -3.5978
O 5.7945 -4.7514 4.1543
O -0.0438 -6.2319 -7.9081
O 2.8754 -5.4917 -1.8769
O -3.8655 -5.0241 1.3284
O 5.6067 -0.6932 3.1675
O 5.9263 -3.2093 -0.1560
O 1.4537 -2.2905 -9.6962
O 6.7409 -0.4675 -3.2052
O 0.8108 -9.5459 3.0976
O 6.6811 -7.1548 -2.3555
O 3.0631 -9.5500 -0.8901
Tm -4.9633 -7.0774 0.5201
Tm 3.2829 -3.4829 -3.2453
Tm -3.4111 -10.0714 -0.4235
Tm -2.2477 -5.3036 -0.5098
Tm 4.7329 -6.5581 -3.0962
Tm -4.1345 -9.8263 -3.8181
Tm 3.9699 -3.3685 -6.6774
Tm 2.6339 -0.7155 -10.6056
Tm 5.3029 -6.4972 -6.5509
Tm -2.0430 -7.0924 -4.4629
Tm -0.7507 -8.2863 -1.5712
Tm -4.0094 -7.8031 -9.2265
Tm 6.5409 -1.5781 -5.3963
Tm -1.0384 -3.7915 -3.5632
Tm 5.6523 -1.0253 -8.8571
Tm 3.7765 -4.8954 3.3751
Tm 2.0450 -1.1049 -0.8194
Tm -1.0720 -4.6371 -6.8595
Tm -0.9415 -8.1778 -7.5798
Tm 1.1026 -1.1227 -4.3099
Tm 8.1548 -4.5073 -6.4350
Tm 1.3920 -6.2786 -3.6809
Tm 0.6995 -9.4389 -4.6761
Tm 4.7865 -9.0914 3.8684
Tm 4.3588 -4.7047 -0.0729
Tm 5.0512 -1.5445 0.9223
Tm 0.9643 -1.8920 -7.6221
Tm 6.6922 -2.8055 3.8260
Tm -2.4041 -6.4760 2.6812
Tm 4.6481 -9.8607 0.5562
Tm 6.8228 -6.3462 3.1057
Tm 1.9742 -6.0879 -7.1288
Tm 3.7058 -9.8785 -2.9344
Tm 0.0984 -9.9581 5.1033
Tm -0.7902 -9.4053 1.6425
Tm 9.7602 -3.1803 5.4727
Tm 6.7891 -7.1919 -0.1905
Tm 0.4478 -4.4862 2.7971
Tm 7.7937 -3.8909 0.7092
Tm 6.5015 -2.6971 -2.1826
Tm 3.1169 -10.2678 6.8518
Tm 1.7809 -7.6148 2.9236
Tm 7.9985 -5.6798 -3.2440
Tm 9.8852 -1.1571 0.0643
Tm 1.0179 -4.4253 -0.6576
Tm 9.1618 -0.9119 -3.3303
Tm 2.4679 -7.5005 -0.5084
Tm 10.7140 -3.9060 -4.2739
```

Computed properties:
The space group is Ia-3d, No. 230. The calculation puts the magnetization at 12.4 μB per cell. The volume comes out at 20.92 A^3/atom. The value obtained for the formation energy from raw total energies is -1827 meV/atom.

---

Entry 3:
A plane-wave DFT calculation with PBE was carried out for Ho6PbSe4 after structural relaxation.

Geometry as extended XYZ:
```
22
Lattice="-1.7366 0.6122 3.6918 -4.2084 -4.1324 -3.5994 9.9156 -16.5507 7.4086" Properties=species:S:1:pos:R:3 pbc="T T T"
Ho -0.8683 0.3061 1.8459
Ho 4.0895 -7.9693 5.5502
Ho 2.8483 -5.9316 2.3234
Ho 1.1223 -14.1394 5.1777
Ho 2.8330 -16.9947 6.4558
Ho 1.1377 -3.0763 1.0452
Ho 0.4487 -8.5285 3.9304
Ho 3.5220 -11.5425 3.5707
Ho 6.6762 -16.8074 5.9274
Ho -2.7055 -3.2636 1.5737
Ho -1.0263 -6.7796 0.6415
Ho 4.9969 -13.2914 6.8596
Pb -0.1147 -5.1320 3.1021
Pb 4.0854 -14.9390 4.3989
Se 0.8088 -11.3481 4.5673
Se -2.9565 -5.1754 -0.5325
Se 3.1619 -8.7229 2.9337
Se 6.9271 -14.8956 8.0335
Se 5.0186 -18.3750 7.7127
Se -1.0480 -1.6960 -0.2117
Se 4.4020 -10.6808 6.1468
Se -0.4314 -9.3902 1.3542
```

Computed properties:
The space group is Cmcm, No. 63. The calculation puts the magnetization at 0.0 μB per cell. The volume comes out at 25.56 A^3/atom. The value obtained for the formation energy from raw total energies is -1363 meV/atom.

---

Entry 4:
A plane-wave DFT calculation with PBE was carried out for HgTeI after structural relaxation.

Geometry as extended XYZ:
```
3
Lattice="-0.5728 1.0234 -3.2183 -3.9460 -2.5436 -0.1065 -3.8039 5.7955 2.5199" Properties=species:S:1:pos:R:3 pbc="T T T"
I -3.0576 0.4560 -1.1336
Te -2.5238 3.8452 1.6719
Hg -5.2737 3.7570 2.1333
```

Computed properties:
The space group is Pmm2, No. 25. For the relative energy among the computed polymorphs, the calculation gives 177.1 meV per atom. The calculation puts the magnetization at 0.0 μB per cell. The volume comes out at 39.55 A^3/atom. The value obtained for the formation energy from raw total energies is -26 meV/atom.

---

Entry 5:
A plane-wave DFT calculation with PBE was carried out for Cd4CoAs after structural relaxation.

Geometry as extended XYZ:
```
6
Lattice="4.2149 -2.7578 -2.4694 2.8521 -3.8994 2.8511 -0.5841 -5.4225 -1.3131" Properties=species:S:1:pos:R:3 pbc="T T T"
Cd 4.5340 -5.9092 -1.5800
Cd 2.1429 -7.2369 -1.0039
Cd 3.8550 -6.4780 1.0708
Cd 2.4340 -4.5353 -0.3497
Co 4.8622 -9.0597 -0.6986
As 0.0000 0.0000 0.0000
```

Computed properties:
The space group is F-43m, No. 216. As for the formation energy: 51.5 kJ/mol of atoms. The calculation puts the magnetization at 1.0 μB per cell. The volume comes out at 20.80 A^3/atom.

---

Entry 6:
A plane-wave DFT calculation with PBE was carried out for CeSi3Ru after structural relaxation.

Geometry as extended XYZ:
```
5
Lattice="-4.0291 -2.3245 3.4602 -2.2837 -5.1262 -1.4547 5.2748 2.3448 0.5366" Properties=species:S:1:pos:R:3 pbc="T T T"
Ce -2.6862 -3.1704 0.8533
Si 0.5082 -2.5561 -0.1454
Si -0.3646 -1.1553 2.3120
Si -0.0047 -0.0056 0.0015
Ru -4.8347 -5.7062 1.5358
```

Computed properties:
The space group is I4mm, No. 107. For the relative energy among the computed polymorphs, the calculation gives 0.0 meV per atom. The calculation puts the magnetization at 0.2 μB per cell. The volume comes out at 17.47 A^3/atom. The value obtained for the formation energy from raw total energies is -725 meV/atom.

---

Entry 7:
A plane-wave DFT calculation with PBE was carried out for Th5SiTe4 after structural relaxation.

Geometry as extended XYZ:
```
10
Lattice="4.3478 0.0000 -0.6127 -0.0887 4.3626 -0.6292 0.0700 0.0120 16.2284" Properties=species:S:1:pos:R:3 pbc="T T T"
Th 0.3921 0.3883 2.7819
Th 2.1295 2.1813 -0.6210
Th 3.9371 3.9863 12.2045
Th 1.2814 1.2705 9.0925
Th 3.0477 3.1041 5.8940
Si 0.0000 0.0000 0.0000
Te 1.7438 1.7389 12.3731
Te 3.4863 3.5299 9.0059
Te 0.8429 0.8447 5.9806
Te 2.5854 2.6358 2.6134
```

Computed properties:
The space group is C2/m, No. 12. For the relative energy among the computed polymorphs, the calculation gives 26.6 meV per atom. The calculation puts the magnetization at 0.0 μB per cell. The volume comes out at 30.80 A^3/atom. The value obtained for the formation energy from raw total energies is -981 meV/atom.

---

Entry 8:
A plane-wave DFT calculation with PBE was carried out for Li2CeTmTe4 after structural relaxation.

Geometry as extended XYZ:
```
8
Lattice="4.3898 0.0000 0.0000 0.0000 7.6092 0.1350 0.0000 -2.6486 7.0100" Properties=species:S:1:pos:R:3 pbc="T T T"
Li 2.1949 -1.3243 3.5050
Li 0.0000 2.4803 3.5725
Ce 0.0000 0.0000 0.0000
Tm 2.1949 3.8046 0.0675
Te 2.1949 1.3139 1.8592
Te 2.1949 3.6467 5.2858
Te 0.0000 -0.0098 5.2604
Te 0.0000 4.9704 1.8846
```

Computed properties:
The space group is P2/m, No. 10. The calculation puts the magnetization at 1.0 μB per cell. The volume comes out at 29.47 A^3/atom. The value obtained for the formation energy from raw total energies is -1242 meV/atom.

---

Entry 9:
A plane-wave DFT calculation with PBE was carried out for ReSnH5 after structural relaxation.

Geometry as extended XYZ:
```
7
Lattice="4.9036 0.0000 2.1902 2.1747 3.6145 1.7156 0.9780 -0.6830 4.3948" Properties=species:S:1:pos:R:3 pbc="T T T"
Re 4.3654 1.4657 4.3009
Sn 4.0304 0.0000 1.8002
H 5.4482 0.5732 3.3530
H 5.8710 1.4657 4.9735
H 4.3820 2.3583 5.7400
H 3.4271 0.1665 4.8534
H 4.1506 2.7650 3.2335
```

Computed properties:
The space group is Imm2, No. 44. The calculation puts the magnetization at 0.5 μB per cell. The volume comes out at 10.38 A^3/atom. Its raw total energy is -30.90 eV/cell.

---

Entry 10:
A plane-wave DFT calculation with PBE was carried out for NaTl3As2O6 after structural relaxation.

Geometry as extended XYZ:
```
12
Lattice="-4.6451 -3.3022 1.2862 4.8646 -2.4827 -2.0753 2.2984 -0.7740 6.3135" Properties=species:S:1:pos:R:3 pbc="T T T"
Na 1.1492 -0.3870 3.1568
Tl 3.1757 -3.2546 3.1132
Tl -0.6577 -3.3043 2.4112
Tl 0.0000 0.0000 0.0000
As 0.5666 -3.7166 5.7742
As 1.9514 -2.8423 -0.2498
O 1.5207 -4.3844 0.5854
O 1.4157 -1.6163 0.9630
O 3.7434 -2.8043 -0.0300
O 1.1023 -4.9426 4.5614
O 0.9972 -2.1745 4.9390
O -1.2254 -3.7546 5.5544
```

Computed properties:
The space group is P-3m1, No. 164. The calculation puts the magnetization at 0.0 μB per cell. The volume comes out at 16.66 A^3/atom. The value obtained for the formation energy from raw total energies is -1084 meV/atom.

---

Please write out number 8 again, unchanged.
A plane-wave DFT calculation with PBE was carried out for Li2CeTmTe4 after structural relaxation.

Geometry as extended XYZ:
```
8
Lattice="4.3898 0.0000 0.0000 0.0000 7.6092 0.1350 0.0000 -2.6486 7.0100" Properties=species:S:1:pos:R:3 pbc="T T T"
Li 2.1949 -1.3243 3.5050
Li 0.0000 2.4803 3.5725
Ce 0.0000 0.0000 0.0000
Tm 2.1949 3.8046 0.0675
Te 2.1949 1.3139 1.8592
Te 2.1949 3.6467 5.2858
Te 0.0000 -0.0098 5.2604
Te 0.0000 4.9704 1.8846
```

Computed properties:
The space group is P2/m, No. 10. The calculation puts the magnetization at 1.0 μB per cell. The volume comes out at 29.47 A^3/atom. The value obtained for the formation energy from raw total energies is -1242 meV/atom.

---

Q: Which formula does entry 4 have?
A: HgTeI